# 1
Here is a relaxed structure of CaIrAu2 from the Alexandria database. Energies are from GGA-PBE.

Output
N(E_F) ... 5.33 states/eV per cell

Lattice parameters (Å, degrees): 4.1417 4.1417 8.7318 90.00 90.00 90.00
Space group I-4m2 (No. 119)
Asymmetric unit:
Ca  0.0000  0.0000  0.0000 [2 per cell]
Ir  0.0000  0.5000  0.2500 [2 per cell]
Au  0.0000  0.0000  0.5000 [2 per cell]
Au  0.0000  0.5000  0.7500 [2 per cell]


# 2
Here is a relaxed structure of LaTb5Y4 from the Alexandria database. Energies are from GGA-PBE.

Output
N(E_F) ... 29.84 states/eV per cell

Lattice parameters (Å, degrees): 10.2370 10.2370 6.3370 90.00 90.00 90.00
Space group I4 (No. 79)
Asymmetric unit:
La  0.0000  0.0000  0.0000 [2 per cell]
Tb  0.0000  0.0000  0.4565 [2 per cell]
Tb  0.1466  0.7706  0.7265 [8 per cell]
Y  0.0463  0.6543  0.2337 [8 per cell]


# 3
Here is a relaxed structure of LiSnHg2S4 from the Alexandria database. Energies are from GGA-PBE.

Output
Energy relative to the elements, uncorrected ... -391 meV/atom
N(E_F) ... 8.19 states/eV per cell

Lattice parameters (Å, degrees): 8.3723 7.2990 6.8025 90.00 90.00 90.00
Space group Pmn2_1 (No. 31)
Asymmetric unit:
Li  0.0000  0.1635  0.0000 [2 per cell]
Sn  0.0000  0.8277  0.4943 [2 per cell]
Hg  0.2495  0.3317  0.4980 [4 per cell]
S  0.0000  0.1602  0.3634 [2 per cell]
S  0.0000  0.8464  0.8745 [2 per cell]
S  0.2371  0.3301  0.8815 [4 per cell]


# 4
Here is a relaxed structure of Cs3Ge2Cl7 from the Alexandria database. Energies are from GGA-PBE.

Output
Energy relative to the elements, uncorrected ... -1442 meV/atom
N(E_F) ... 0.00 states/eV per cell

Lattice parameters (Å, degrees): 5.3499 5.3499 28.0260 90.00 90.00 90.00
Space group I4/mmm (No. 139)
Asymmetric unit:
Cs  0.0000  0.0000  0.0000 [2 per cell]
Cs  0.0000  0.0000  0.1823 [4 per cell]
Ge  0.0000  0.0000  0.4024 [4 per cell]
Cl  0.0000  0.0000  0.3087 [4 per cell]
Cl  0.0000  0.0000  0.5000 [2 per cell]
Cl  0.0000  0.5000  0.0962 [8 per cell]


# 5
Here is a relaxed structure of Tb4PrNd4 from the Alexandria database. Energies are from GGA-PBE.

Output
N(E_F) ... 27.46 states/eV per cell

Lattice parameters (Å, degrees): 10.8981 10.8981 5.1376 90.00 90.00 90.00
Space group I4/mmm (No. 139)
Asymmetric unit:
Tb  0.0000  0.3358  0.0000 [8 per cell]
Pr  0.0000  0.0000  0.0000 [2 per cell]
Nd  0.1677  0.1677  0.5000 [8 per cell]


# 6
Here is a relaxed structure of Li2La2In from the Alexandria database. Energies are from GGA-PBE.

Output
N(E_F) ... 3.70 states/eV per cell

Lattice parameters (Å, degrees): 4.6615 4.6615 6.6587 90.00 90.00 120.00
Space group P-3m1 (No. 164)
Asymmetric unit:
Li  0.3333  0.6667  0.1040 [2 per cell]
La  0.3333  0.6667  0.6439 [2 per cell]
In  0.0000  0.0000  0.0000 [1 per cell]


# 7
Here is a relaxed structure of Rb4Tb3ThSe8 from the Alexandria database. Energies are from GGA-PBE.

Output
Energy relative to the elements, uncorrected ... -1684 meV/atom
N(E_F) ... 14.46 states/eV per cell

Lattice parameters (Å, degrees): 8.5283 8.5283 24.1082 90.00 90.00 120.00
Space group R-3m (No. 166, hexagonal axes)
Asymmetric unit:
Rb  0.0000  0.0000  0.0000 [3 per cell]
Rb  0.0000  0.5000  0.0000 [9 per cell]
Tb  0.0000  0.5000  0.5000 [9 per cell]
Th  0.0000  0.0000  0.5000 [3 per cell]
Se  0.0000  0.0000  0.2322 [6 per cell]
Se  0.0018  0.5009  0.7668 [18 per cell]


# 8
Here is a relaxed structure of RbMgTl2Pd from the Alexandria database. Energies are from GGA-PBE.

Output
N(E_F) ... 3.37 states/eV per cell

Lattice parameters (Å, degrees): 5.4659 5.4659 5.2328 90.00 90.00 90.00
Space group P4/mmm (No. 123)
Asymmetric unit:
Rb  0.0000  0.0000  0.0000 [1 per cell]
Mg  0.5000  0.5000  0.0000 [1 per cell]
Tl  0.0000  0.5000  0.5000 [2 per cell]
Pd  0.5000  0.5000  0.5000 [1 per cell]


| no. | final energy (eV/atom) |
| --- | --- |
| 1 | -4.514 |
| 2 | -5.102 |
| 3 | -3.269 |
| 4 | -3.503 |
| 5 | -4.691 |
| 6 | -3.366 |
| 7 | -5.000 |
| 8 | -2.612 |